Entry from Alexandria: an optimized crystal structure of AcPm2DyEr4 (PBE).

## Properties
* total magnetization: 0.00 μB/f.u.
* DOS(E_F): 39.83 states/eV per cell
* energy relative to the elements: 0.0320 eV/atom

Cell: 12.4838 7.2268 12.3986 Å, 90.00 109.51 90.00°
With the nearest neighbours (Å) after each atom.
Space group C2/m (No. 12)
Unique sites:
1 Ac 0.0000 0.0000 0.0000  6 Pm 3.61, 6 Er 3.61-3.62
2 Ac 0.0000 0.0000 0.5000  6 Er 3.59-3.60, 4 Dy 3.61, 2 Pm 3.61
3 Pm 0.0000 0.5000 0.0000  6 Er 3.58-3.59, 4 Pm 3.61, 2 Ac 3.61
4 Pm 0.0000 0.5000 0.5000  6 Er 3.56-3.57, 4 Dy 3.61, 2 Ac 3.61
5 Pm 0.2500 0.2500 0.0000  6 Er 3.59-3.61, 2 Ac 3.61, 4 Pm 3.61
6 Dy 0.2500 0.2500 0.5000  6 Er 3.56-3.59, 2 Ac 3.61, 2 Pm 3.61, 2 Dy 3.61
7 Er 0.0006 0.2532 0.2511  3 Pm 3.57-3.60, 6 Er 3.57-3.66, 1 Dy 3.58, 2 Ac 3.59-3.61
8 Er 0.2482 0.5000 0.7472  3 Pm 3.56-3.61, 2 Dy 3.56, 6 Er 3.59-3.62, 1 Ac 3.62
9 Er 0.2487 0.5000 0.2496  3 Pm 3.58-3.59, 6 Er 3.58-3.63, 2 Dy 3.59, 1 Ac 3.60

***

Entry from Alexandria: an optimized crystal structure of Pr3DyIn12 (PBE).

## Properties
* total magnetization: 0.00 μB/f.u.
* DOS(E_F): 9.77 states/eV per cell
* energy relative to the elements: -0.4533 eV/atom

Cell: 4.7119 4.7119 18.9075 Å, 90.00 90.00 90.00°
With the nearest neighbours (Å) after each atom.
Space group P4/mmm (No. 123)
Unique sites:
1 Pr 0.0000 0.0000 0.0000  12 In 3.33-3.36
2 Pr 0.0000 0.0000 0.2531  12 In 3.33-3.36
3 Dy 0.0000 0.0000 0.5000  12 In 3.28-3.33
4 In 0.0000 0.5000 0.1265  8 In 3.33-3.36, 4 Pr 3.36
5 In 0.0000 0.5000 0.3791  8 In 3.28-3.37, 2 Dy 3.28, 2 Pr 3.35
6 In 0.5000 0.5000 0.0000  4 Pr 3.33, 8 In 3.36
7 In 0.5000 0.5000 0.2514  4 Pr 3.33, 8 In 3.34-3.37
8 In 0.5000 0.5000 0.5000  8 In 3.28, 4 Dy 3.33